Record 1
## ZrMoBr2 (PBE-GGA)

Data for crystalline ZrMoBr2 at its relaxed geometry.

Cell and atoms, written as POSCAR:
```
ZrMoBr2
1.0
0.000 3.389 3.389
3.389 0.000 3.389
3.389 3.389 0.000
Br Zr Mo
2 1 1
Direct
0.750 0.750 0.750
0.250 0.250 0.250
0.000 0.000 0.000
0.500 0.500 0.500
```

Values from the calculation:
Raw total energy in eV per atom: -5.221
Energy relative to the elements, uncorrected in eV/atom: 0.4604
Polymorph energy (0 for the lowest one) in eV/atom: 0.714
Fermi-level density of states in states/eV per cell: 3.9

Record 2
## ZrMoBr2 (PBE-GGA)

Data for crystalline ZrMoBr2 at its relaxed geometry.

Cell and atoms, written as POSCAR:
```
ZrMoBr2
1.0
4.516 0.000 0.000
0.000 3.714 -0.003
0.000 0.053 5.014
Mo Br Zr
1 2 1
Direct
0.500 0.250 0.250
0.000 0.487 0.489
0.000 0.013 0.011
0.500 0.750 0.750
```

Values from the calculation:
Raw total energy in eV per atom: -5.364
Energy relative to the elements, uncorrected in eV/atom: 0.3171
Polymorph energy (0 for the lowest one) in eV/atom: 0.571
Fermi-level density of states in states/eV per cell: 4.3

Record 3
## ZrMoBr2 (PBE-GGA)

Data for crystalline ZrMoBr2 at its relaxed geometry.

Cell and atoms, written as POSCAR:
```
ZrMoBr2
1.0
-5.022 -3.006 0.084
-3.421 -3.779 2.878
-2.798 4.483 2.843
Br Zr Mo
2 1 1
Direct
0.962 0.962 0.179
0.719 0.719 0.762
0.221 0.221 0.154
0.597 0.597 0.405
```

Values from the calculation:
Raw total energy in eV per atom: -5.703
Energy relative to the elements, uncorrected in eV/atom: -0.0219
Polymorph energy (0 for the lowest one) in eV/atom: 0.232
Fermi-level density of states in states/eV per cell: 0.5

Record 4
## Zr3MoBr (PBE-GGA)

Data for crystalline Zr3MoBr at its relaxed geometry.

Cell and atoms, written as POSCAR:
```
Zr3MoBr
1.0
-3.431 -3.180 -1.507
2.909 -3.748 1.285
-1.981 0.005 4.499
Zr Br Mo
3 1 1
Direct
0.500 0.000 0.000
0.000 0.000 0.500
0.000 0.500 0.000
0.000 0.000 0.000
0.500 0.500 0.500
```

Values from the calculation:
Raw total energy in eV per atom: -6.848
Energy relative to the elements, uncorrected in eV/atom: 0.7818
Polymorph energy (0 for the lowest one) in eV/atom: 0.082
Fermi-level density of states in states/eV per cell: 4.7

Record 5
## ZrMoBr (PBE-GGA)

Data for crystalline ZrMoBr at its relaxed geometry.

Cell and atoms, written as POSCAR:
```
ZrMoBr
1.0
4.480 0.000 0.000
2.240 3.880 0.000
2.240 1.293 3.658
Zr Mo Br
1 1 1
Direct
0.000 0.000 0.000
0.750 0.750 0.750
0.500 0.500 0.500
```

Values from the calculation:
Raw total energy in eV per atom: -6.149
Energy relative to the elements, uncorrected in eV/atom: 0.8687
Polymorph energy (0 for the lowest one) in eV/atom: 0.711
Fermi-level density of states in states/eV per cell: 5.7

Record 6
## ZrMoBr2 (PBE-GGA)

Data for crystalline ZrMoBr2 at its relaxed geometry.

Cell and atoms, written as POSCAR:
```
ZrMoBr2
1.0
-2.124 2.466 -0.892
-1.294 -2.185 -2.960
-6.130 -4.011 3.507
Br Zr Mo
2 1 1
Direct
0.500 0.402 0.319
0.000 0.082 0.909
0.500 0.734 0.706
0.000 0.282 0.566
```

Values from the calculation:
Raw total energy in eV per atom: -5.935
Energy relative to the elements, uncorrected in eV/atom: -0.2540
Polymorph energy (0 for the lowest one) in eV/atom: 0.000
Fermi-level density of states in states/eV per cell: 0.9

- What is the energy relative to the elements, uncorrected in the fifth record?
  0.8687 eV/atom

- Which of these has the lowest Fermi-level density of states?
  number 3